Entry 1:
# DyGaIrO6

An optimized crystal structure of DyGaIrO6 (PBE, Alexandria via LeMat-Bulk).

E_form (uncorrected)	-1.58	eV/atom
energy	-6.72	eV/atom
symmetry	P-31c, No. 163

Cell lengths 5.322, 5.322, 8.604 Å; angles 90.00, 90.00, 120.00 degrees
Positions (direct):
Dy1 0.333 0.667 0.250
Dy2 0.667 0.333 0.750
Ga1 0.000 0.000 0.000
Ga2 0.000 0.000 0.500
Ir1 0.333 0.667 0.750
Ir2 0.667 0.333 0.250
O1 0.041 0.351 0.620
O2 0.041 0.690 0.880
O3 0.310 0.351 0.880
O4 0.310 0.959 0.620
O5 0.351 0.041 0.120
O6 0.351 0.310 0.380
O7 0.649 0.690 0.620
O8 0.649 0.959 0.880
O9 0.690 0.041 0.380
O10 0.690 0.649 0.120
O11 0.959 0.310 0.120
O12 0.959 0.649 0.380

---

Entry 2:
# GaB3O

An optimized crystal structure of GaB3O (PBE, Alexandria via LeMat-Bulk).

energy above the lowest structure with this stoichiometry	0	meV per atom
E_form (uncorrected)	1.62	eV/atom
energy	-3.98	eV/atom
symmetry	Pm-3m, No. 221

Cell lengths 3.641, 3.641, 3.641 Å; angles 90.00, 90.00, 90.00 degrees
Positions (direct):
Ga1 0.000 0.000 0.000
B1 0.000 0.500 0.500
B2 0.500 0.000 0.500
B3 0.500 0.500 0.000
O1 0.500 0.500 0.500

---

Entry 3:
# NaW4

An optimized crystal structure of NaW4 (PBE, Alexandria via LeMat-Bulk).

energy	-7.60	eV/atom
energy relative to the elements	3.023	eV/atom
symmetry	Pm-3m, No. 221

Cell lengths 4.450, 4.450, 4.450 Å; angles 90.00, 90.00, 90.00 degrees
Positions (direct):
Na1 0.000 0.000 0.000
W1 0.000 0.000 0.500
W2 0.000 0.500 0.000
W3 0.500 0.000 0.000
W4 0.500 0.500 0.500

---

Entry 4:
# CsTlHg3

An optimized crystal structure of CsTlHg3 (PBE, Alexandria via LeMat-Bulk).

energy above the lowest structure with this stoichiometry	453	meV per atom
energy	-0.51	eV/atom
energy relative to the elements	0.315	eV/atom
symmetry	Pm-3m, No. 221

Cell lengths 6.723, 6.723, 6.723 Å; angles 90.00, 90.00, 90.00 degrees
Positions (direct):
Cs1 0.000 0.000 0.000
Tl1 0.500 0.500 0.500
Hg1 0.000 0.000 0.500
Hg2 0.000 0.500 0.000
Hg3 0.500 0.000 0.000

---

Entry 5:
# Li2La2Cd15

An optimized crystal structure of Li2La2Cd15 (PBE, Alexandria via LeMat-Bulk).

energy	-1.66	eV/atom
energy relative to the elements	-0.214	eV/atom
symmetry	R-3m, No. 166

Cell lengths 7.681, 7.681, 7.681 Å; angles 82.36, 82.36, 82.36 degrees
Positions (direct):
Li1 0.100 0.100 0.100
Li2 0.900 0.900 0.900
La1 0.338 0.338 0.338
La2 0.662 0.662 0.662
Cd1 0.000 0.000 0.500
Cd2 0.000 0.295 0.705
Cd3 0.000 0.500 0.000
Cd4 0.000 0.705 0.295
Cd5 0.156 0.644 0.644
Cd6 0.295 0.000 0.705
Cd7 0.295 0.705 0.000
Cd8 0.356 0.356 0.844
Cd9 0.356 0.844 0.356
Cd10 0.500 0.000 0.000
Cd11 0.644 0.156 0.644
Cd12 0.644 0.644 0.156
Cd13 0.705 0.000 0.295
Cd14 0.705 0.295 0.000
Cd15 0.844 0.356 0.356

---

Entry 6:
# Tb8Te4As3Pb

An optimized crystal structure of Tb8Te4As3Pb (PBE, Alexandria via LeMat-Bulk).

E_form (uncorrected)	-1.36	eV/atom
energy	-5.56	eV/atom
symmetry	R-3m, No. 166

Cell lengths 8.666, 8.666, 8.666 Å; angles 59.21, 59.21, 59.21 degrees
Positions (direct):
Tb1 0.231 0.747 0.747
Tb2 0.239 0.239 0.239
Tb3 0.253 0.253 0.769
Tb4 0.253 0.769 0.253
Tb5 0.747 0.231 0.747
Tb6 0.747 0.747 0.231
Tb7 0.761 0.761 0.761
Tb8 0.769 0.253 0.253
Te1 0.000 0.000 0.000
Te2 0.000 0.500 0.500
Te3 0.500 0.000 0.500
Te4 0.500 0.500 0.000
As1 0.000 0.000 0.500
As2 0.000 0.500 0.000
As3 0.500 0.000 0.000
Pb1 0.500 0.500 0.500

---

Entry 7:
# NdTa2S6

An optimized crystal structure of NdTa2S6 (PBE, Alexandria via LeMat-Bulk).

E_form (uncorrected)	-1.13	eV/atom
energy	-7.04	eV/atom
symmetry	C2/m, No. 12

Cell lengths 6.355, 6.355, 8.594 Å; angles 115.97, 115.97, 45.04 degrees
Positions (direct):
Nd1 0.000 0.000 0.000
Ta1 0.190 0.190 0.577
Ta2 0.810 0.810 0.423
S1 0.021 0.021 0.687
S2 0.308 0.308 0.406
S3 0.345 0.345 0.883
S4 0.655 0.655 0.117
S5 0.692 0.692 0.594
S6 0.979 0.979 0.313

---

Entry 8:
# K3MnCl6

An optimized crystal structure of K3MnCl6 (PBE, Alexandria via LeMat-Bulk).

E_form (uncorrected)	-1.57	eV/atom
energy	-3.93	eV/atom
symmetry	P2_1/c, No. 14

Cell lengths 7.242, 7.889, 12.548 Å; angles 90.00, 124.47, 90.00 degrees
Positions (direct):
K1 0.000 0.000 0.000
K2 0.000 0.500 0.500
K3 0.220 0.077 0.751
K4 0.220 0.423 0.251
K5 0.780 0.577 0.749
K6 0.780 0.923 0.249
Mn1 0.500 0.000 0.500
Mn2 0.500 0.500 0.000
Cl1 0.196 0.160 0.457
Cl2 0.196 0.340 0.957
Cl3 0.255 0.721 0.428
Cl4 0.255 0.779 0.928
Cl5 0.400 0.042 0.291
Cl6 0.400 0.458 0.791
Cl7 0.600 0.542 0.209
Cl8 0.600 0.958 0.709
Cl9 0.745 0.221 0.072
Cl10 0.745 0.279 0.572
Cl11 0.804 0.660 0.043
Cl12 0.804 0.840 0.543

---

Entry 9:
# Cs2NbHgCl6

An optimized crystal structure of Cs2NbHgCl6 (PBE, Alexandria via LeMat-Bulk).

energy above the lowest structure with this stoichiometry	34	meV per atom
E_form (uncorrected)	-1.42	eV/atom
energy	-3.73	eV/atom
symmetry	Fm-3m, No. 225

Cell lengths 8.153, 8.153, 8.153 Å; angles 60.00, 60.00, 60.00 degrees
Positions (direct):
Cs1 0.250 0.250 0.250
Cs2 0.750 0.750 0.750
Nb1 0.000 0.000 0.000
Hg1 0.500 0.500 0.500
Cl1 0.212 0.212 0.788
Cl2 0.212 0.788 0.212
Cl3 0.212 0.788 0.788
Cl4 0.788 0.212 0.212
Cl5 0.788 0.212 0.788
Cl6 0.788 0.788 0.212

---

Entry 10:
# K3LiZn

An optimized crystal structure of K3LiZn (PBE, Alexandria via LeMat-Bulk).

energy above the lowest structure with this stoichiometry	0	meV per atom
energy	-1.05	eV/atom
energy relative to the elements	0.249	eV/atom
symmetry	Pm-3m, No. 221

Cell lengths 6.584, 6.584, 6.584 Å; angles 90.00, 90.00, 90.00 degrees
Positions (direct):
K1 0.000 0.000 0.500
K2 0.000 0.500 0.000
K3 0.500 0.000 0.000
Li1 0.500 0.500 0.500
Zn1 0.000 0.000 0.000

---

Entry 11:
# YAgHgBi

An optimized crystal structure of YAgHgBi (PBE, Alexandria via LeMat-Bulk).

energy	-3.63	eV/atom
energy relative to the elements	-0.253	eV/atom
symmetry	F-43m, No. 216

Cell lengths 5.238, 5.238, 5.238 Å; angles 60.00, 60.00, 60.00 degrees
Positions (direct):
Y1 0.000 0.000 0.000
Ag1 0.500 0.500 0.500
Hg1 0.750 0.750 0.750
Bi1 0.250 0.250 0.250

---

Entry 12:
# CsScAuCl6

An optimized crystal structure of CsScAuCl6 (PBE, Alexandria via LeMat-Bulk).

E_form (uncorrected)	-1.45	eV/atom
energy	-3.85	eV/atom
symmetry	P1, No. 1

Cell lengths 6.666, 6.668, 7.695 Å; angles 93.03, 93.11, 113.38 degrees
Positions (direct):
Cs1 0.000 0.000 0.000
Sc1 0.645 0.354 0.500
Au1 0.297 0.702 0.500
Cl1 0.342 0.056 0.653
Cl2 0.346 0.419 0.308
Cl3 0.580 0.653 0.692
Cl4 0.626 0.087 0.272
Cl5 0.913 0.372 0.727
Cl6 0.943 0.658 0.347